# 1
An optimized crystal structure of ErPuS4. Source: the Alexandria database, functional PBE.

The structure in CIF format:
```
data_ErPuS4
_symmetry_space_group_name_H-M 'C m m m'
_symmetry_Int_Tables_number 65
_symmetry_space_group_name_Hall '-C 2 2'
_cell_length_a 8.736
_cell_length_b 8.853
_cell_length_c 4.078
_cell_angle_alpha 90.00
_cell_angle_beta 90.00
_cell_angle_gamma 90.00
loop_
_atom_site_label
_atom_site_fract_x
_atom_site_fract_y
_atom_site_fract_z
Er1 0.000 0.000 0.000
Pu1 0.000 0.500 0.500
S1 0.000 0.310 0.000
S2 0.201 0.000 0.500
```

Formation energy (no corrections) (eV/atom): -1.3763
Volume (Å³ per atom): 26.29
DFT total energy (eV per atom): -7.28

---

# 2
An optimized crystal structure of YAlCd. Source: the Alexandria database, functional PBE.

The structure in CIF format:
```
data_YAlCd
_symmetry_space_group_name_H-M 'P 63/m m c'
_symmetry_Int_Tables_number 194
_symmetry_space_group_name_Hall '-P 6c 2c'
_cell_length_a 4.4485
_cell_length_b 4.4485
_cell_length_c 11.3984
_cell_angle_alpha 90.00
_cell_angle_beta 90.00
_cell_angle_gamma 120.00
loop_
_atom_site_label
_atom_site_fract_x
_atom_site_fract_y
_atom_site_fract_z
Y1 0.0000 0.0000 0.0000
Al1 0.0000 0.0000 0.2500
Cd1 0.3333 0.6667 0.2500
```

E_form (meV per atom): 529
Volume (Å³ per atom): 32.56
DFT total energy (eV per atom): -3.18

---

# 3
An optimized crystal structure of LaReW3. Source: the Alexandria database, functional PBE.

The structure in CIF format:
```
data_LaReW3
_symmetry_space_group_name_H-M 'P m -3 m'
_symmetry_Int_Tables_number 221
_symmetry_space_group_name_Hall '-P 4 2 3'
_cell_length_a 4.874
_cell_length_b 4.874
_cell_length_c 4.874
_cell_angle_alpha 90.00
_cell_angle_beta 90.00
_cell_angle_gamma 90.00
loop_
_atom_site_label
_atom_site_fract_x
_atom_site_fract_y
_atom_site_fract_z
La1 0.000 0.000 0.000
Re1 0.500 0.500 0.500
W1 0.000 0.500 0.500
```

E_form (meV per atom): 1386
Volume (Å³ per atom): 23.16
DFT total energy (eV per atom): -9.86

---

# 4
An optimized crystal structure of CdGa2BS6. Source: the Alexandria database, functional PBE.

The structure in CIF format:
```
data_CdGa2BS6
_symmetry_space_group_name_H-M 'C 1 2/c 1'
_symmetry_Int_Tables_number 15
_symmetry_space_group_name_Hall '-C 2yc'
_cell_length_a 12.148
_cell_length_b 12.254
_cell_length_c 6.733
_cell_angle_alpha 90.00
_cell_angle_beta 116.11
_cell_angle_gamma 90.00
loop_
_atom_site_label
_atom_site_fract_x
_atom_site_fract_y
_atom_site_fract_z
Cd1 0.000 0.124 0.250
Ga1 0.180 0.411 0.114
B1 0.000 0.173 0.750
S1 0.098 0.239 0.033
S2 0.108 0.077 0.681
S3 0.121 0.437 0.398
```

Formation energy (no corrections) (eV/atom): -0.3654
Volume (Å³ per atom): 22.50
DFT total energy (eV per atom): -4.21

---

# 5
An optimized crystal structure of Nd3Sm2Ho. Source: the Alexandria database, functional PBE.

The structure in CIF format:
```
data_Nd3Sm2Ho
_symmetry_space_group_name_H-M 'I b a m'
_symmetry_Int_Tables_number 72
_symmetry_space_group_name_Hall '-I 2 2c'
_cell_length_a 11.300
_cell_length_b 12.023
_cell_length_c 6.956
_cell_angle_alpha 90.00
_cell_angle_beta 90.00
_cell_angle_gamma 90.00
loop_
_atom_site_label
_atom_site_fract_x
_atom_site_fract_y
_atom_site_fract_z
Nd1 0.000 0.000 0.250
Nd2 0.000 0.265 0.250
Sm1 0.245 0.195 0.000
Ho1 0.000 0.500 0.000
```

E_form (meV per atom): 560
Volume (Å³ per atom): 39.38
DFT total energy (eV per atom): -4.16

---

# 6
An optimized crystal structure of LaCdSb2Pd5. Source: the Alexandria database, functional PBE.

The structure in CIF format:
```
data_LaCdSb2Pd5
_symmetry_space_group_name_H-M 'P 4/m m m'
_symmetry_Int_Tables_number 123
_symmetry_space_group_name_Hall '-P 4 2'
_cell_length_a 4.858
_cell_length_b 4.858
_cell_length_c 8.274
_cell_angle_alpha 90.00
_cell_angle_beta 90.00
_cell_angle_gamma 90.00
loop_
_atom_site_label
_atom_site_fract_x
_atom_site_fract_y
_atom_site_fract_z
La1 0.000 0.000 0.000
Cd1 0.000 0.000 0.500
Sb1 0.500 0.500 0.328
Pd1 0.000 0.500 0.214
Pd2 0.500 0.500 0.000
```

Formation energy (no corrections) (eV/atom): -0.4488
Volume (Å³ per atom): 21.70
DFT total energy (eV per atom): -4.90

---

# 7
An optimized crystal structure of Ca2AgP. Source: the Alexandria database, functional PBE.

The structure in CIF format:
```
data_Ca2AgP
_symmetry_space_group_name_H-M 'I -4 2 d'
_symmetry_Int_Tables_number 122
_symmetry_space_group_name_Hall 'I -4 2bw'
_cell_length_a 6.669
_cell_length_b 6.669
_cell_length_c 13.606
_cell_angle_alpha 90.00
_cell_angle_beta 90.00
_cell_angle_gamma 90.00
loop_
_atom_site_label
_atom_site_fract_x
_atom_site_fract_y
_atom_site_fract_z
Ca1 0.195 0.250 0.125
Ag1 0.000 0.000 0.500
P1 0.000 0.000 0.000
```

E_form (meV per atom): -312
Volume (Å³ per atom): 37.82
DFT total energy (eV per atom): -3.38

---

# 8
An optimized crystal structure of YCo2Pt2. Source: the Alexandria database, functional PBE.

The structure in CIF format:
```
data_YCo2Pt2
_symmetry_space_group_name_H-M 'P 4/m b m'
_symmetry_Int_Tables_number 127
_symmetry_space_group_name_Hall '-P 4 2ab'
_cell_length_a 7.382
_cell_length_b 7.382
_cell_length_c 2.907
_cell_angle_alpha 90.00
_cell_angle_beta 90.00
_cell_angle_gamma 90.00
loop_
_atom_site_label
_atom_site_fract_x
_atom_site_fract_y
_atom_site_fract_z
Y1 0.000 0.000 0.000
Co1 0.114 0.386 0.000
Pt1 0.180 0.680 0.500
```

E_form (meV per atom): -334
Volume (Å³ per atom): 15.84
DFT total energy (eV per atom): -6.89

---

# 9
An optimized crystal structure of K2CdCo. Source: the Alexandria database, functional PBE.

The structure in CIF format:
```
data_K2CdCo
_symmetry_space_group_name_H-M 'A m m 2'
_symmetry_Int_Tables_number 38
_symmetry_space_group_name_Hall 'A 2 -2'
_cell_length_a 4.776
_cell_length_b 5.135
_cell_length_c 12.177
_cell_angle_alpha 90.00
_cell_angle_beta 90.00
_cell_angle_gamma 90.00
loop_
_atom_site_label
_atom_site_fract_x
_atom_site_fract_y
_atom_site_fract_z
K1 0.000 0.000 0.000
K2 0.500 0.000 0.302
Cd1 0.000 0.000 0.693
Co1 0.500 0.000 0.611
```

E_form (meV per atom): 535
Volume (Å³ per atom): 37.34
DFT total energy (eV per atom): -2.02

---

# 10
An optimized crystal structure of NiMoOs2. Source: the Alexandria database, functional PBE.

The structure in CIF format:
```
data_NiMoOs2
_symmetry_space_group_name_H-M 'F 2 2 2'
_symmetry_Int_Tables_number 22
_symmetry_space_group_name_Hall 'F 2 2'
_cell_length_a 5.366
_cell_length_b 5.380
_cell_length_c 7.723
_cell_angle_alpha 90.00
_cell_angle_beta 90.00
_cell_angle_gamma 90.00
loop_
_atom_site_label
_atom_site_fract_x
_atom_site_fract_y
_atom_site_fract_z
Ni1 0.000 0.000 0.000
Mo1 0.250 0.250 0.750
Os1 0.000 0.000 0.500
Os2 0.250 0.250 0.250
```

E_form (meV per atom): 86
Volume (Å³ per atom): 13.94
DFT total energy (eV per atom): -9.68

---

# 11
An optimized crystal structure of MgAgBr2F. Source: the Alexandria database, functional PBE.

The structure in CIF format:
```
data_MgAgBr2F
_symmetry_space_group_name_H-M 'P 4/m m m'
_symmetry_Int_Tables_number 123
_symmetry_space_group_name_Hall '-P 4 2'
_cell_length_a 5.383
_cell_length_b 5.383
_cell_length_c 3.781
_cell_angle_alpha 90.00
_cell_angle_beta 90.00
_cell_angle_gamma 90.00
loop_
_atom_site_label
_atom_site_fract_x
_atom_site_fract_y
_atom_site_fract_z
Mg1 0.000 0.000 0.000
Ag1 0.500 0.500 0.500
Br1 0.000 0.500 0.000
F1 0.000 0.000 0.500
```

Formation energy (no corrections) (eV/atom): -1.4400
Volume (Å³ per atom): 21.91
DFT total energy (eV per atom): -3.37

---

# 12
An optimized crystal structure of HoZrCu4. Source: the Alexandria database, functional PBE.

The structure in CIF format:
```
data_HoZrCu4
_symmetry_space_group_name_H-M 'F -4 3 m'
_symmetry_Int_Tables_number 216
_symmetry_space_group_name_Hall 'F -4 2 3'
_cell_length_a 7.283
_cell_length_b 7.283
_cell_length_c 7.283
_cell_angle_alpha 90.00
_cell_angle_beta 90.00
_cell_angle_gamma 90.00
loop_
_atom_site_label
_atom_site_fract_x
_atom_site_fract_y
_atom_site_fract_z
Ho1 0.000 0.000 0.000
Zr1 0.250 0.250 0.750
Cu1 0.124 0.124 0.376
```

E_form (meV per atom): -97
Volume (Å³ per atom): 16.10
DFT total energy (eV per atom): -5.02